# Rb3Dy2TiTe6

An optimized crystal structure of Rb3Dy2TiTe6 (PBE, Alexandria via LeMat-Bulk).

Results
Raw total energy = -4.40 eV per atom
Formation energy from raw total energies = -1.165 eV per atom
Space group = C2/m (12)
Total moment = 0.083 μB/atom

Structure (POSCAR):
```
Rb3Dy2TiTe6
1.0
-2.480 1.813 7.023
-2.951 -6.052 -3.664
7.820 -3.573 2.284
Rb Te Ti Dy
3 6 1 2
direct
0.827 0.173 0.500 Rb
0.500 0.500 0.500 Rb
0.173 0.827 0.500 Rb
0.621 0.936 0.807 Te
0.936 0.621 0.807 Te
0.379 0.064 0.193 Te
0.064 0.379 0.193 Te
0.751 0.751 0.195 Te
0.249 0.249 0.805 Te
0.000 0.000 0.000 Ti
0.666 0.334 0.000 Dy
0.334 0.666 0.000 Dy
```